Density functional theory data (PBE) for a relaxed structure of Nd6CdRu2. Values from VASP.

Cell and atoms, written as Quantum ESPRESSO input:
```
&SYSTEM
  ibrav = 0, nat = 18, ntyp = 3
/
ATOMIC_SPECIES
Nd 144.24 Nd.upf
Cd 112.41 Cd.upf
Ru 101.07 Ru.upf
ATOMIC_POSITIONS angstrom
Nd 4.829 2.952 -2.820
Nd 2.754 1.811 0.000
Nd 6.903 1.811 0.000
Nd 1.805 4.959 -1.858
Nd 3.024 0.000 3.498
Nd 0.000 2.007 2.536
Nd 4.829 2.952 2.820
Nd 1.805 4.959 1.858
Nd 3.024 0.000 7.213
Nd -2.075 3.148 5.355
Nd 2.075 3.148 5.355
Nd 0.000 2.007 8.175
Cd 0.000 0.000 0.000
Cd 0.000 0.000 5.355
Ru 4.829 0.000 1.331
Ru 0.000 3.213 0.000
Ru 0.000 6.705 0.000
Ru 0.000 4.959 4.024
CELL_PARAMETERS angstrom
-4.829 4.959 5.355
4.829 -4.959 5.355
4.829 4.959 -5.355
```

Computed properties:
DFT formation energy: -21.7 kJ per mole of atoms
excess energy over the best structure of this formula in the dataset: 0 meV per atom
V: 512.96 Å³/cell
total moment: 0.00 μB/f.u.